Entry 1:
The following is a PBE calculation of a geometry-optimized Tb4Pr3Zn structure, from Alexandria via LeMat-Bulk.

Computed properties:
Symmetry: P4/mmm
E_tot in eV per atom: -4.34
Size of the total moment in μB/atom: 0.000

Cell lengths 3.620, 3.620, 19.117 Å; angles 90.00, 90.00, 90.00 degrees
Sites, in units of the cell vectors:
Pr 0.500 0.500 0.229
Pr 0.500 0.500 0.500
Pr 0.500 0.500 0.771
Tb 0.000 0.000 0.635
Tb 0.000 0.000 0.092
Tb 0.000 0.000 0.908
Tb 0.000 0.000 0.365
Zn 0.500 0.500 0.000


Entry 2:
The following is a PBE calculation of a geometry-optimized Ac2AgMo2N6 structure, from Alexandria via LeMat-Bulk.

Computed properties:
Symmetry: P-1
E_tot in eV per atom: -8.11
Formation energy without anion corrections in kcal/mol of atoms: -13.6
Size of the total moment in μB/atom: 0.094

Cell lengths 6.977, 6.793, 7.571 Å; angles 115.50, 90.18, 49.42 degrees
Sites, in units of the cell vectors:
N 0.860 0.563 0.227
N 0.856 0.215 0.419
N 0.726 0.186 0.014
N 0.144 0.785 0.581
N 0.140 0.437 0.773
N 0.274 0.814 0.986
Ac 0.805 0.398 0.798
Ac 0.195 0.602 0.202
Mo 0.914 0.240 0.200
Mo 0.086 0.760 0.800
Ag 0.500 0.000 0.500


Entry 3:
The following is a PBE calculation of a geometry-optimized Sc2CdSe structure, from Alexandria via LeMat-Bulk.

Computed properties:
Symmetry: I-42d
ΔE to the lowest computed polymorph in kcal/mol of atoms: 7.447
E_tot in eV per atom: -4.82
Formation energy without anion corrections in kcal/mol of atoms: -12.7
Size of the total moment in μB/atom: 0.272

Cell lengths 7.559, 7.559, 6.262 Å; angles 52.87, 52.87, 90.00 degrees
Sites, in units of the cell vectors:
Cd 0.750 0.250 0.500
Cd 0.000 0.000 0.000
Se 0.250 0.750 0.500
Se 0.500 0.500 0.000
Sc 0.154 0.625 0.250
Sc 0.875 0.846 0.750
Sc 0.596 0.125 0.250
Sc 0.375 0.404 0.750


Entry 4:
The following is a PBE calculation of a geometry-optimized Sn3PbAu3 structure, from Alexandria via LeMat-Bulk.

Computed properties:
Symmetry: Pm-3n
ΔE to the lowest computed polymorph in kcal/mol of atoms: 5.465
E_tot in eV per atom: -3.50
Size of the total moment in μB/atom: 0.000

Cell lengths 7.628, 7.628, 7.628 Å; angles 90.00, 90.00, 90.00 degrees
Sites, in units of the cell vectors:
Au 0.750 0.500 0.000
Au 0.500 0.000 0.250
Au 0.500 0.000 0.750
Au 0.250 0.500 0.000
Au 0.000 0.250 0.500
Au 0.000 0.750 0.500
Pb 0.000 0.000 0.000
Pb 0.500 0.500 0.500
Sn 0.000 0.500 0.750
Sn 0.500 0.250 0.000
Sn 0.500 0.750 0.000
Sn 0.750 0.000 0.500
Sn 0.000 0.500 0.250
Sn 0.250 0.000 0.500


Entry 5:
The following is a PBE calculation of a geometry-optimized LiSiPb2 structure, from Alexandria via LeMat-Bulk.

Computed properties:
Symmetry: P4/mmm
E_tot in eV per atom: -3.56
Formation energy without anion corrections in kcal/mol of atoms: 3.0
Size of the total moment in μB/atom: 0.000

Cell lengths 4.311, 4.716, 4.716 Å; angles 90.00, 90.00, 90.00 degrees
Sites, in units of the cell vectors:
Pb 0.000 0.000 0.000
Pb 0.000 0.500 0.500
Li 0.500 0.000 0.500
Si 0.500 0.500 0.000


Entry 6:
The following is a PBE calculation of a geometry-optimized SrHg3Pt structure, from Alexandria via LeMat-Bulk.

Computed properties:
Symmetry: Pm-3m
ΔE to the lowest computed polymorph in kcal/mol of atoms: 28.871
E_tot in eV per atom: -0.87
Size of the total moment in μB/atom: 0.067

Cell lengths 6.104, 6.104, 6.104 Å; angles 90.00, 90.00, 90.00 degrees
Sites, in units of the cell vectors:
Hg 0.000 0.500 0.000
Hg 0.000 0.000 0.500
Hg 0.500 0.000 0.000
Pt 0.500 0.500 0.500
Sr 0.000 0.000 0.000


Entry 7:
The following is a PBE calculation of a geometry-optimized YPaTcOs structure, from Alexandria via LeMat-Bulk.

Computed properties:
Symmetry: F-43m
E_tot in eV per atom: -9.58
Size of the total moment in μB/atom: 0.000

Cell lengths 4.862, 4.862, 4.862 Å; angles 60.00, 60.00, 60.00 degrees
Sites, in units of the cell vectors:
Y 0.250 0.250 0.250
Pa 0.750 0.750 0.750
Os 0.500 0.500 0.500
Tc 0.000 0.000 0.000


Entry 8:
The following is a PBE calculation of a geometry-optimized Mg4Ag2HgPd structure, from Alexandria via LeMat-Bulk.

Computed properties:
Symmetry: R-3m
E_tot in eV per atom: -2.56
Size of the total moment in μB/atom: 0.000

Cell lengths 4.680, 4.680, 8.239 Å; angles 73.50, 73.50, 60.00 degrees
Sites, in units of the cell vectors:
Mg 0.620 0.620 0.141
Mg 0.871 0.871 0.387
Mg 0.380 0.380 0.859
Mg 0.129 0.129 0.613
Pd 0.500 0.500 0.500
Ag 0.248 0.248 0.256
Ag 0.752 0.752 0.744
Hg 0.000 0.000 0.000


Entry 9:
The following is a PBE calculation of a geometry-optimized Mg8HgPd2 structure, from Alexandria via LeMat-Bulk.

Computed properties:
Symmetry: P1
ΔE to the lowest computed polymorph in kcal/mol of atoms: 0.000
E_tot in eV per atom: -2.49
Size of the total moment in μB/atom: 0.000

Cell lengths 4.540, 6.892, 8.290 Å; angles 117.15, 105.92, 89.58 degrees
Sites, in units of the cell vectors:
Mg 0.618 0.221 0.875
Mg 0.564 0.598 0.762
Mg 0.916 0.490 0.468
Mg 0.266 0.329 0.169
Mg 0.773 0.008 0.183
Mg 0.981 0.148 0.600
Mg 0.408 0.810 0.453
Mg 0.200 0.669 0.035
Hg 0.091 0.909 0.819
Pd 0.404 0.205 0.444
Pd 0.778 0.614 0.192


Entry 10:
The following is a PBE calculation of a geometry-optimized LiPm4Ga structure, from Alexandria via LeMat-Bulk.

Computed properties:
Symmetry: Cmc2_1
E_tot in eV per atom: -4.09
Size of the total moment in μB/atom: 0.000

Cell lengths 3.590, 5.809, 16.971 Å; angles 90.00, 96.07, 90.00 degrees
Sites, in units of the cell vectors:
Pm 0.736 0.445 0.472
Pm 0.593 0.404 0.186
Pm 0.078 0.879 0.155
Pm 0.667 0.016 0.335
Pm 0.407 0.904 0.814
Pm 0.922 0.379 0.845
Pm 0.264 0.945 0.528
Pm 0.333 0.516 0.665
Ga 0.162 0.561 0.325
Ga 0.838 0.061 0.675
Li 0.500 0.128 0.000
Li 0.500 0.628 0.000


Entry 11:
The following is a PBE calculation of a geometry-optimized Sn2HgPb4 structure, from Alexandria via LeMat-Bulk.

Computed properties:
Symmetry: Cccm
ΔE to the lowest computed polymorph in kcal/mol of atoms: 0.687
E_tot in eV per atom: -3.21
Size of the total moment in μB/atom: 0.000

Cell lengths 6.589, 6.589, 11.196 Å; angles 90.00, 90.00, 113.56 degrees
Sites, in units of the cell vectors:
Sn 0.248 0.754 0.500
Sn 0.752 0.246 0.500
Sn 0.246 0.752 0.000
Sn 0.754 0.248 0.000
Pb 0.750 0.750 0.000
Pb 0.500 0.000 0.750
Pb 0.500 0.000 0.250
Pb 0.000 0.500 0.750
Pb 0.250 0.250 0.000
Pb 0.250 0.250 0.500
Pb 0.750 0.750 0.500
Pb 0.000 0.500 0.250
Hg 0.500 0.500 0.750
Hg 0.500 0.500 0.250


Entry 12:
The following is a PBE calculation of a geometry-optimized KLa2TaHg structure, from Alexandria via LeMat-Bulk.

Computed properties:
Symmetry: P4/mmm
E_tot in eV per atom: -3.89
Size of the total moment in μB/atom: 0.000

Cell lengths 5.559, 6.419, 5.559 Å; angles 90.00, 90.00, 90.00 degrees
Sites, in units of the cell vectors:
K 0.000 0.500 0.000
Hg 0.500 0.500 0.500
La 0.500 0.000 0.000
La 0.000 0.000 0.500
Ta 0.000 0.000 0.000